Record 1
The following is a DFT calculation (PBE) of KTc2Rh after structural relaxation.

## Properties
For the formation energy, the calculation gives 0.68 eV/atom. The value obtained for the energy above the most stable polymorph in this dataset is 119 meV per atom. The density of states at the Fermi level is 4.6 states/eV/f.u.

Cell: 2.917 4.672 10.169 Å, 90.00 90.00 90.00°
Space group Cmm2 (No. 35)
Unique sites:
K (0.000, 0.000, 0.000) (multiplicity 2)
Tc (0.000, 0.000, 0.505) (multiplicity 2)
Tc (0.000, 0.500, 0.296) (multiplicity 2)
Rh (0.000, 0.500, 0.726) (multiplicity 2)

Record 2
The following is a DFT calculation (PBE) of Be2Ag2SbO6 after structural relaxation.

## Properties
The formation energy (no corrections) is -1.276 eV/atom. The density of states at the Fermi level is 9.1 states/eV/f.u.

Cell: 5.2385 5.2385 5.7371 Å, 90.00 90.00 120.00°
Space group P-3 (No. 147)
Unique sites:
Be (0.3333, 0.6667, 0.3224) (multiplicity 2)
Ag (0.3333, 0.6667, 0.8432) (multiplicity 2)
Sb (0.0000, 0.0000, 0.5000) (multiplicity 1)
O (0.0783, 0.7333, 0.2976) (multiplicity 6)

Record 3
The following is a DFT calculation (PBE) of CsScPaS4 after structural relaxation.

## Properties
The formation energy (no corrections) is -1.525 eV/atom. The density of states at the Fermi level is 5.8 states/eV/f.u.

Cell: 8.294 8.819 11.481 Å, 90.00 90.00 90.00°
Space group Imma (No. 74)
Unique sites:
Cs (0.000, 0.250, 0.145) (multiplicity 4)
Sc (0.250, 0.250, 0.750) (multiplicity 4)
Pa (0.000, 0.000, 0.500) (multiplicity 4)
S (0.000, 0.063, 0.732) (multiplicity 8)
S (0.200, 0.250, 0.519) (multiplicity 8)

Record 4
The following is a DFT calculation (PBE) of Pr2PaTe5 after structural relaxation.

## Properties
The value obtained for the energy above the most stable polymorph in this dataset is 39 meV per atom. The formation energy (no corrections) is -1.121 eV/atom. The density of states at the Fermi level is 4.0 states/eV/f.u.

Cell: 6.238 14.825 14.939 Å, 90.00 90.00 90.00°
Space group Cmcm (No. 63)
Unique sites:
Pr (0.000, 0.153, 0.057) (multiplicity 8)
Pa (0.000, 0.203, 0.750) (multiplicity 4)
Te (0.000, 0.047, 0.624) (multiplicity 8)
Te (0.000, 0.266, 0.250) (multiplicity 4)
Te (0.000, 0.325, 0.580) (multiplicity 8)

Record 5
The following is a DFT calculation (PBE) of ReBr2F2 after structural relaxation.

## Properties
The value obtained for the energy above the most stable polymorph in this dataset is 1494 meV per atom. The formation energy (no corrections) is 0.388 eV/atom. The density of states at the Fermi level is 5.4 states/eV/f.u.

Cell: 3.207 3.207 14.346 Å, 90.00 90.00 90.00°
Space group I4/mmm (No. 139)
Unique sites:
Re (0.000, 0.000, 0.000) (multiplicity 2)
Br (0.000, 0.000, 0.390) (multiplicity 4)
F (0.000, 0.500, 0.250) (multiplicity 4)

Record 6
The following is a DFT calculation (PBE) of KSb after structural relaxation.

## Properties
The value obtained for the energy above the most stable polymorph in this dataset is 38 meV per atom. The formation energy (no corrections) is -0.402 eV/atom. The density of states at the Fermi level is 0.7 states/eV/f.u.

Cell: 10.259 4.607 6.783 Å, 90.00 90.00 90.00°
Space group Pnma (No. 62)
Unique sites:
K (0.186, 0.250, 0.111) (multiplicity 4)
Sb (0.034, 0.250, 0.620) (multiplicity 4)

Record 7
The following is a DFT calculation (PBE) of Cs2PaI5Br after structural relaxation.

## Properties
The formation energy (no corrections) is -1.354 eV/atom.

Cell: 8.675 8.675 11.949 Å, 90.00 90.00 90.00°
Space group I4mm (No. 107)
Unique sites:
Cs (0.000, 0.500, 0.000) (multiplicity 4)
Pa (0.000, 0.000, 0.248) (multiplicity 2)
I (0.000, 0.000, 0.502) (multiplicity 2)
I (0.248, 0.248, 0.251) (multiplicity 8)
Br (0.000, 0.000, 0.015) (multiplicity 2)

Record 8
The following is a DFT calculation (PBE) of Nd12SmTm7 after structural relaxation.

## Properties
For the formation energy, the calculation gives 0.25 eV/atom. The value obtained for the energy above the most stable polymorph in this dataset is 97 meV per atom. The density of states at the Fermi level is 29.5 states/eV/f.u.

Cell: 19.6345 19.6345 6.2062 Å, 90.00 90.00 120.00°
Space group R-3m (No. 166, hexagonal axes)
Unique sites:
Nd (0.0000, 0.4126, 0.0000) (multiplicity 18)
Nd (0.0979, 0.5490, 0.4666) (multiplicity 18)
Sm (0.0000, 0.0000, 0.5000) (multiplicity 3)
Tm (0.0000, 0.0000, 0.0000) (multiplicity 3)
Tm (0.0813, 0.1627, 0.2927) (multiplicity 18)

DFT total energy for every record listed, in sequence, given in eV per cell: -52.90 -61.06 -175.46 -174.92 -35.19 -24.10 -65.63 -264.85.